1.
Here is a geometry-optimized Y2Tm2Pb2N structure from Alexandria. Energies are from PBE.

N(E_F) = 0.779 states/eV/atom
Space group = I4/mmm (139)
Uncorrected formation energy = -897 meV/atom

a b c (Å): 8.701 8.701 8.701
angles (deg): 148.79 148.79 44.72
Atoms (fractional coordinates):
Y  0.158  0.158  0.000
Y  0.842  0.842  0.000
Tm  0.000  0.500  0.500
Tm  0.500  0.000  0.500
Pb  0.357  0.357  0.000
Pb  0.643  0.643  0.000
N  0.000  0.000  0.000



2.
Here is a geometry-optimized UPbN structure from Alexandria. Energies are from PBE.

N(E_F) = 0.864 states/eV/atom
Space group = Cmcm (63)
Uncorrected formation energy = -369 meV/atom

a b c (Å): 13.355 13.355 3.229
angles (deg): 90.00 90.00 166.24
Atoms (fractional coordinates):
U  0.066  0.934  0.750
U  0.934  0.066  0.250
Pb  0.195  0.805  0.750
Pb  0.805  0.195  0.250
N  0.448  0.552  0.750
N  0.552  0.448  0.250



3.
Here is a geometry-optimized U2PbN structure from Alexandria. Energies are from PBE.

N(E_F) = 1.954 states/eV/atom
Space group = R-3m (166)
Uncorrected formation energy = -495 meV/atom

a b c (Å): 8.961 8.961 8.961
angles (deg): 20.81 20.81 20.81
Atoms (fractional coordinates):
U  0.223  0.223  0.223
U  0.777  0.777  0.777
Pb  0.000  0.000  0.000
N  0.500  0.500  0.500



4.
Here is a geometry-optimized VPb3N3 structure from Alexandria. Energies are from PBE.

N(E_F) = 0.083 states/eV/atom
Space group = P6_3/m (176)
Uncorrected formation energy = 154 meV/atom

a b c (Å): 9.243 9.243 4.594
angles (deg): 90.00 90.00 120.00
Atoms (fractional coordinates):
V  0.333  0.667  0.250
V  0.667  0.333  0.750
Pb  0.096  0.404  0.750
Pb  0.308  0.904  0.750
Pb  0.404  0.308  0.250
Pb  0.596  0.692  0.750
Pb  0.692  0.096  0.250
Pb  0.904  0.596  0.250
N  0.112  0.530  0.250
N  0.418  0.888  0.250
N  0.470  0.582  0.250
N  0.530  0.418  0.750
N  0.582  0.112  0.750
N  0.888  0.470  0.750



5.
Here is a geometry-optimized VPbN3 structure from Alexandria. Energies are from PBE.

N(E_F) = 0.504 states/eV/atom
Space group = Pm-3m (221)
Uncorrected formation energy = 429 meV/atom

a b c (Å): 3.960 3.960 3.960
angles (deg): 90.00 90.00 90.00
Atoms (fractional coordinates):
V  0.000  0.000  0.000
Pb  0.500  0.500  0.500
N  0.000  0.000  0.500
N  0.000  0.500  0.000
N  0.500  0.000  0.000



6.
Here is a geometry-optimized VPbN2 structure from Alexandria. Energies are from PBE.

N(E_F) = 0.498 states/eV/atom
Space group = R-3m (166)
Uncorrected formation energy = -62 meV/atom

a b c (Å): 7.178 7.178 7.178
angles (deg): 24.43 24.43 24.43
Atoms (fractional coordinates):
V  0.000  0.000  0.000
Pb  0.500  0.500  0.500
N  0.382  0.382  0.382
N  0.618  0.618  0.618



7.
Here is a geometry-optimized VPbN2 structure from Alexandria. Energies are from PBE.

N(E_F) = 0.370 states/eV/atom
Space group = I-42d (122)
Uncorrected formation energy = -240 meV/atom

a b c (Å): 5.870 5.870 5.870
angles (deg): 126.19 126.19 79.57
Atoms (fractional coordinates):
V  0.000  0.000  0.000
V  0.750  0.250  0.500
Pb  0.250  0.750  0.500
Pb  0.500  0.500  0.000
N  0.375  0.238  0.363
N  0.762  0.125  0.137
N  0.875  0.012  0.637
N  0.988  0.625  0.863



8.
Here is a geometry-optimized VPb3N structure from Alexandria. Energies are from PBE.

N(E_F) = 0.705 states/eV/atom
Space group = Pm-3m (221)
ΔE to the lowest computed polymorph = 293 meV/atom
Uncorrected formation energy = 1221 meV/atom

a b c (Å): 5.290 5.290 5.290
angles (deg): 90.00 90.00 90.00
Atoms (fractional coordinates):
V  0.000  0.000  0.000
Pb  0.000  0.000  0.500
Pb  0.000  0.500  0.000
Pb  0.500  0.000  0.000
N  0.500  0.500  0.500